GGA-PBE Cd2CuP2, relaxed; SG = P4/mbm (127); DFT total energy = -3.274 eV/atom; DFT formation energy = 0.075 eV/atom; volume = 19.341 Å³/atom
1.0
5.983 0.000 0.000
0.000 5.983 0.000
0.000 0.000 5.403
Cd Cu P
4 2 4
direct
0.182 0.318 0.000
0.318 0.818 0.000
0.682 0.182 0.000
0.818 0.682 0.000
0.000 0.000 0.500
0.500 0.500 0.500
0.130 0.370 0.500
0.370 0.870 0.500
0.630 0.130 0.500
0.870 0.630 0.500

---

GGA-PBE CdCuP2, relaxed; SG = C2/m (12); DFT total energy = -3.886 eV/atom; DFT formation energy = 0.071 eV/atom; volume = 19.376 Å³/atom
1.0
5.194 -1.627 0.000
5.194 1.627 0.000
-1.762 0.000 4.585
Cd Cu P
1 1 2
direct
0.000 0.000 0.000
0.500 0.500 0.500
0.266 0.266 0.362
0.734 0.734 0.638

---

GGA-PBE CdCuP2, relaxed; SG = Cmmm (65); DFT total energy = -3.573 eV/atom; DFT formation energy = 0.385 eV/atom; volume = 17.362 Å³/atom
1.0
1.762 -2.140 0.000
1.762 2.140 0.000
0.000 0.000 9.210
Cd Cu P
1 1 2
direct
0.000 0.000 0.000
0.000 0.000 0.500
0.500 0.500 0.315
0.500 0.500 0.685

---

GGA-PBE Cd2CuP, relaxed; SG = P2/m (10); DFT total energy = -2.564 eV/atom; DFT formation energy = 0.270 eV/atom; volume = 18.946 Å³/atom
1.0
3.007 0.000 0.000
0.000 5.232 0.000
-0.171 0.000 4.816
Cd Cu P
2 1 1
direct
0.245 0.000 0.253
0.755 0.000 0.747
0.000 0.500 0.500
0.000 0.500 0.000

---

GGA-PBE CdCu2P, relaxed; SG = F-43m (216); DFT total energy = -3.283 eV/atom; DFT formation energy = 0.346 eV/atom; volume = 15.592 Å³/atom
1.0
0.000 3.148 3.148
3.148 0.000 3.148
3.148 3.148 0.000
Cd Cu P
1 2 1
direct
0.000 0.000 0.000
0.500 0.500 0.500
0.750 0.750 0.750
0.250 0.250 0.250

---

GGA-PBE CdCu2P, relaxed; SG = Pmm2 (25); DFT total energy = -3.485 eV/atom; DFT formation energy = 0.145 eV/atom; volume = 16.310 Å³/atom
1.0
2.834 0.000 0.000
0.000 3.959 0.000
0.000 0.000 5.814
Cd Cu P
1 2 1
direct
0.000 0.000 0.000
0.000 0.000 0.544
0.500 0.500 0.699
0.000 0.500 0.354

---

GGA-PBE CdCuP2, relaxed; SG = Pmmm (47); DFT total energy = -3.460 eV/atom; DFT formation energy = 0.498 eV/atom; volume = 16.604 Å³/atom
1.0
3.507 0.000 0.000
0.000 3.850 0.000
0.000 0.000 4.918
Cd Cu P
1 1 2
direct
0.000 0.000 0.000
0.500 0.500 0.000
0.000 0.500 0.500
0.500 0.000 0.500

---

GGA-PBE CdCu4P, relaxed; SG = F-43m (216); DFT total energy = -3.589 eV/atom; DFT formation energy = 0.196 eV/atom; volume = 14.271 Å³/atom
1.0
0.000 3.498 3.498
3.498 0.000 3.498
3.498 3.498 0.000
Cd Cu P
1 4 1
direct
0.000 0.000 0.000
0.125 0.625 0.625
0.625 0.125 0.625
0.625 0.625 0.125
0.625 0.625 0.625
0.250 0.250 0.250

---

GGA-PBE Cd2CuP, relaxed; SG = Imm2 (44); DFT total energy = -2.632 eV/atom; DFT formation energy = 0.202 eV/atom; volume = 19.381 Å³/atom
1.0
-1.820 2.017 5.280
1.820 -2.017 5.280
1.820 2.017 -5.280
Cd Cu P
2 1 1
direct
0.000 0.000 0.000
0.710 0.210 0.500
0.431 0.431 0.000
0.293 0.793 0.500

---

GGA-PBE CdCuP2, relaxed; SG = Pm (6); DFT total energy = -3.748 eV/atom; DFT formation energy = 0.210 eV/atom; volume = 16.955 Å³/atom
1.0
2.729 0.000 0.000
0.000 3.274 0.000
-1.226 0.000 7.591
Cd Cu P
1 1 2
direct
0.000 0.000 0.000
0.614 0.500 0.241
0.752 0.000 0.477
0.843 0.500 0.687

---

GGA-PBE CdCuP2, relaxed; SG = Cm (8); DFT total energy = -3.841 eV/atom; DFT formation energy = 0.117 eV/atom; volume = 18.783 Å³/atom
1.0
4.021 -1.380 0.000
4.021 1.380 0.000
-0.315 0.000 6.770
Cd Cu P
1 1 2
direct
0.000 0.000 0.000
0.441 0.441 0.647
0.716 0.716 0.545
0.738 0.738 0.224

---

GGA-PBE CdCuP2, relaxed; SG = Cmm2 (35); DFT total energy = -3.523 eV/atom; DFT formation energy = 0.435 eV/atom; volume = 17.048 Å³/atom
1.0
1.594 -2.670 0.000
1.594 2.670 0.000
0.000 0.000 8.010
Cd Cu P
1 1 2
direct
0.000 0.000 0.000
0.500 0.500 0.272
0.000 0.000 0.493
0.500 0.500 0.696

---

- DFT total energy of number 4 (Cd2CuP)?
  -2.564 eV/atom

---

- Number 1 is which compound?
  Cd2CuP2

---

- Which of these has the lowest DFT total energy?
  number 2